Entry 1:
DFT (PBE-GGA) results for a relaxed structure of GdLuMg2.

abc: 5.3444 5.3444 5.3444
angles: 60.00 60.00 60.00
Sites, in units of the cell vectors:
Gd 0.0000 0.0000 0.0000
Lu 0.5000 0.5000 0.5000
Mg 0.2500 0.2500 0.2500
Mg 0.7500 0.7500 0.7500

Output
ΔH_f (0 K)	-0.0756	eV per atom
mass density	5.9	g/cm3
offset from the most stable computed form	0.002	eV per atom
space group	Fm-3m (225)

Entry 2:
DFT (PBE-GGA) results for a relaxed structure of GdLuMg2.

abc: 5.3453 5.3453 3.7634
angles: 90.00 90.00 90.00
Sites, in units of the cell vectors:
Gd 0.0000 0.0000 0.0000
Lu 0.5000 0.5000 0.0000
Mg 0.0000 0.5000 0.5000
Mg 0.5000 0.0000 0.5000

Output
ΔH_f (0 K)	-0.0777	eV per atom
mass density	5.9	g/cm3
offset from the most stable computed form	0.000	eV per atom
space group	P4/mmm (123)

Entry 3:
DFT (PBE-GGA) results for a relaxed structure of GdLuMg.

abc: 7.1352 7.1352 7.1352
angles: 150.85 150.85 41.69
Sites, in units of the cell vectors:
Gd 0.0000 0.0000 0.0000
Lu 0.6778 0.6778 0.0000
Mg 0.3343 0.3343 0.0000

Output
ΔH_f (0 K)	-0.0420	eV per atom
mass density	6.9	g/cm3
offset from the most stable computed form	0.000	eV per atom
space group	I4mm (107)

Entry 4:
DFT (PBE-GGA) results for a relaxed structure of GdLuMgMn.

abc: 5.1437 5.1437 5.1437
angles: 60.00 60.00 60.00
Sites, in units of the cell vectors:
Gd 0.0000 0.0000 0.0000
Lu 0.5000 0.5000 0.5000
Mg 0.7500 0.7500 0.7500
Mn 0.2500 0.2500 0.2500

Output
ΔH_f (0 K)	0.0856	eV per atom
mass density	7.1	g/cm3
space group	F-43m (216)

Entry 5:
DFT (PBE-GGA) results for a relaxed structure of NdGdLuMg.

abc: 5.5322 5.5322 5.5322
angles: 60.00 60.00 60.00
Sites, in units of the cell vectors:
Nd 0.0000 0.0000 0.0000
Gd 0.5000 0.5000 0.5000
Lu 0.7500 0.7500 0.7500
Mg 0.2500 0.2500 0.2500

Output
ΔH_f (0 K)	0.0076	eV per atom
mass density	6.9	g/cm3
space group	F-43m (216)

Entry 6:
DFT (PBE-GGA) results for a relaxed structure of GdLuPuMg.

abc: 5.4139 5.4139 5.4139
angles: 60.00 60.00 60.00
Sites, in units of the cell vectors:
Gd 0.0000 0.0000 0.0000
Lu 0.5000 0.5000 0.5000
Pu 0.2500 0.2500 0.2500
Mg 0.7500 0.7500 0.7500

Output
ΔH_f (0 K)	0.1504	eV per atom
mass density	8.9	g/cm3
space group	F-43m (216)

Entry 7:
DFT (PBE-GGA) results for a relaxed structure of GdLuMgRu.

abc: 4.9935 4.9935 4.9935
angles: 60.00 60.00 60.00
Sites, in units of the cell vectors:
Gd 0.0000 0.0000 0.0000
Lu 0.5000 0.5000 0.5000
Mg 0.2500 0.2500 0.2500
Ru 0.7500 0.7500 0.7500

Output
ΔH_f (0 K)	-0.2028	eV per atom
mass density	8.6	g/cm3
space group	F-43m (216)

Entry 8:
DFT (PBE-GGA) results for a relaxed structure of GdLuMgSn.

abc: 5.2743 5.2743 5.2743
angles: 60.00 60.00 60.00
Sites, in units of the cell vectors:
Gd 0.0000 0.0000 0.0000
Lu 0.5000 0.5000 0.5000
Mg 0.2500 0.2500 0.2500
Sn 0.7500 0.7500 0.7500

Output
ΔH_f (0 K)	-0.3734	eV per atom
mass density	7.6	g/cm3
space group	F-43m (216)

Entry 9:
DFT (PBE-GGA) results for a relaxed structure of TbGdLuMg.

abc: 5.4780 5.4780 5.4780
angles: 60.00 60.00 60.00
Sites, in units of the cell vectors:
Tb 0.0000 0.0000 0.0000
Gd 0.5000 0.5000 0.5000
Lu 0.2500 0.2500 0.2500
Mg 0.7500 0.7500 0.7500

Output
ΔH_f (0 K)	0.0177	eV per atom
mass density	7.4	g/cm3
space group	F-43m (216)

Entry 10:
DFT (PBE-GGA) results for a relaxed structure of GdLuThMg.

abc: 5.5024 5.5024 5.5024
angles: 60.00 60.00 60.00
Sites, in units of the cell vectors:
Gd 0.0000 0.0000 0.0000
Lu 0.2500 0.2500 0.2500
Th 0.5000 0.5000 0.5000
Mg 0.7500 0.7500 0.7500

Output
ΔH_f (0 K)	0.0720	eV per atom
mass density	8.3	g/cm3
space group	F-43m (216)

Entry 11:
DFT (PBE-GGA) results for a relaxed structure of GdLuMgTi.

abc: 5.2171 5.2171 5.2171
angles: 60.00 60.00 60.00
Sites, in units of the cell vectors:
Gd 0.0000 0.0000 0.0000
Lu 0.5000 0.5000 0.5000
Mg 0.2500 0.2500 0.2500
Ti 0.7500 0.7500 0.7500

Output
ΔH_f (0 K)	0.1461	eV per atom
mass density	6.7	g/cm3
space group	F-43m (216)

Entry 12:
DFT (PBE-GGA) results for a relaxed structure of GdLuMgTl.

abc: 5.3192 5.3192 5.3192
angles: 60.00 60.00 60.00
Sites, in units of the cell vectors:
Gd 0.0000 0.0000 0.0000
Lu 0.5000 0.5000 0.5000
Mg 0.2500 0.2500 0.2500
Tl 0.7500 0.7500 0.7500

Output
ΔH_f (0 K)	-0.2158	eV per atom
mass density	8.8	g/cm3
space group	F-43m (216)

Entry 13:
DFT (PBE-GGA) results for a relaxed structure of GdLuMn2.

abc: 5.0063 5.0063 3.3743
angles: 90.00 90.00 90.00
Sites, in units of the cell vectors:
Gd 0.0000 0.0000 0.0000
Lu 0.5000 0.5000 0.0000
Mn 0.0000 0.5000 0.5000
Mn 0.5000 0.0000 0.5000

Output
ΔH_f (0 K)	0.1714	eV per atom
mass density	8.7	g/cm3
space group	P4/mmm (123)

Entry 14:
DFT (PBE-GGA) results for a relaxed structure of GdLuMn.

abc: 6.7557 6.7557 6.7557
angles: 150.48 150.48 42.23
Sites, in units of the cell vectors:
Gd 0.0000 0.0000 0.0000
Lu 0.2725 0.2725 0.0000
Mn 0.6402 0.6402 0.0000

Output
ΔH_f (0 K)	0.1179	eV per atom
mass density	8.6	g/cm3
space group	I4mm (107)

Entry 15:
DFT (PBE-GGA) results for a relaxed structure of GdLuMnTc.

abc: 4.8825 4.8825 4.8825
angles: 60.00 60.00 60.00
Sites, in units of the cell vectors:
Gd 0.0000 0.0000 0.0000
Lu 0.5000 0.5000 0.5000
Mn 0.2500 0.2500 0.2500
Tc 0.7500 0.7500 0.7500

Output
ΔH_f (0 K)	0.0960	eV per atom
mass density	9.8	g/cm3
space group	F-43m (216)

Entry 16:
DFT (PBE-GGA) results for a relaxed structure of GdLuMnTl.

abc: 5.1918 5.1918 5.1918
angles: 60.00 60.00 60.00
Sites, in units of the cell vectors:
Gd 0.0000 0.0000 0.0000
Lu 0.5000 0.5000 0.5000
Mn 0.2500 0.2500 0.2500
Tl 0.7500 0.7500 0.7500

Output
ΔH_f (0 K)	-0.0173	eV per atom
mass density	9.9	g/cm3
space group	F-43m (216)

Entry 17:
DFT (PBE-GGA) results for a relaxed structure of GdLuMo4.

abc: 5.5049 5.5049 5.5049
angles: 60.00 60.00 60.00
Sites, in units of the cell vectors:
Gd 0.0000 0.0000 0.0000
Lu 0.7500 0.7500 0.7500
Mo 0.3749 0.3749 0.3749
Mo 0.3749 0.3749 0.8754
Mo 0.3749 0.8754 0.3749
Mo 0.8754 0.3749 0.3749

Output
ΔH_f (0 K)	0.0908	eV per atom
mass density	10.1	g/cm3
space group	F-43m (216)

Entry 18:
DFT (PBE-GGA) results for a relaxed structure of GdLuN.

abc: 3.4648 3.4648 5.9360
angles: 90.00 90.00 120.00
Sites, in units of the cell vectors:
Gd 0.0000 0.0000 0.0000
Lu 0.3333 0.6667 0.5474
N 0.6667 0.3333 0.7480

Output
mass density	9.3	g/cm3
energy relative to the elements, uncorrected	-1.062	eV/atom
offset from the most stable computed form	0.000	eV per atom
space group	P3m1 (156)

Entry 19:
DFT (PBE-GGA) results for a relaxed structure of GdLuN.

abc: 6.4198 6.4198 6.4198
angles: 152.13 152.13 39.82
Sites, in units of the cell vectors:
Gd 0.0000 0.0000 0.0000
Lu 0.2401 0.2401 0.0000
N 0.6618 0.6618 0.0000

Output
mass density	10.0	g/cm3
energy relative to the elements, uncorrected	-0.478	eV/atom
offset from the most stable computed form	0.584	eV per atom
space group	I4mm (107)

Entry 20:
DFT (PBE-GGA) results for a relaxed structure of Gd3LuN.

abc: 4.9962 4.9962 4.9962
angles: 90.00 90.00 90.00
Sites, in units of the cell vectors:
Gd 0.0000 0.0000 0.5000
Gd 0.0000 0.5000 0.0000
Gd 0.5000 0.0000 0.0000
Lu 0.5000 0.5000 0.5000
N 0.0000 0.0000 0.0000

Output
mass density	8.8	g/cm3
energy relative to the elements, uncorrected	-0.522	eV/atom
space group	Pm-3m (221)